K2UAlTe5: relaxed, PBE.

Unit cell a=4.350 b=20.992 c=15.179 alpha=90.00 beta=90.00 gamma=90.00
Space group Cmc2_1 (No. 36)
Symmetry-distinct sites (fractional):
K (0.000, 0.120, 0.000)
K (0.000, 0.124, 0.355)
U (0.000, 0.203, 0.697)
Al (0.000, 0.430, 0.092)
Te (0.000, 0.054, 0.699)
Te (0.000, 0.302, 0.332)
Te (0.000, 0.305, 0.053)
Te (0.000, 0.338, 0.678)
Te (0.000, 0.492, 0.947)

Summary:
* mass density: 4.7 g/cm³
* uncorrected formation energy: -0.728 eV/atom